Er2PuNpAs4 after structural relaxation, computed with GGA-PBE.

Output
Space group: P2/m
Magnetic moment: 1.474 Bohr magnetons per cell

a b c (Å): 4.094 7.112 7.089
angles (deg): 109.45 90.00 90.00
Last column: magnetic moment on the atom in μB.
Fractional coordinates of all 8 atoms:
Er1 0.500 0.000 0.500  -0.03
Np1 0.500 0.500 0.000  3.61
As1 0.500 0.252 0.251  0.03
As2 0.500 0.748 0.749  0.03
Er2 0.000 0.500 0.500  0.02
Pu1 0.000 0.000 0.000  -5.06
As3 0.000 0.749 0.251  -0.03
As4 0.000 0.251 0.749  -0.03

***

ErNpAs2Rh5 after structural relaxation, computed with GGA-PBE.

Output
Space group: P4/mmm
Magnetic moment: 1.896 Bohr magnetons per cell

a b c (Å): 3.943 3.943 11.524
angles (deg): 90.00 90.00 90.00
Last column: magnetic moment on the atom in μB.
Fractional coordinates of all 9 atoms:
Np1 0.000 0.000 0.000  2.50
Rh1 0.500 0.000 0.159  -0.20
As1 0.000 0.000 0.294  0.02
Rh2 0.000 0.500 0.841  -0.20
Er1 0.500 0.500 0.500  0.01
Rh3 0.500 0.000 0.841  -0.20
Rh4 0.000 0.500 0.159  -0.20
Rh5 0.000 0.000 0.500  0.01
As2 0.000 0.000 0.706  0.02

***

ErNp2ScAs4 after structural relaxation, computed with GGA-PBE.

Output
Space group: P2/m
Magnetic moment: 0.095 Bohr magnetons per cell

a b c (Å): 4.028 7.018 7.005
angles (deg): 109.32 90.00 90.00
Last column: magnetic moment on the atom in μB.
Fractional coordinates of all 8 atoms:
As1 0.000 0.754 0.245  0.03
Np1 0.000 0.500 0.500  3.69
As2 0.500 0.241 0.241  -0.02
Np2 0.500 0.000 0.500  -3.60
Er1 0.500 0.500 0.000  0.02
As3 0.000 0.246 0.755  0.03
As4 0.500 0.759 0.759  -0.02
Sc1 0.000 0.000 0.000  -0.01

***

Er2NpScAs4 after structural relaxation, computed with GGA-PBE.

Output
Space group: P2/m
Magnetic moment: 3.721 Bohr magnetons per cell

a b c (Å): 4.036 6.985 6.999
angles (deg): 109.27 90.00 90.00
Last column: magnetic moment on the atom in μB.
Fractional coordinates of all 8 atoms:
Np1 0.500 0.500 0.000  3.60
Sc1 0.000 0.000 0.000  0.04
As1 0.500 0.243 0.241  -0.04
Er1 0.000 0.500 0.500  0.03
As2 0.000 0.246 0.754  -0.06
As3 0.000 0.754 0.246  -0.06
Er2 0.500 0.000 0.500  0.00
As4 0.500 0.757 0.759  -0.04

***

SmEr2NpAs4 after structural relaxation, computed with GGA-PBE.

Output
Space group: P2/m
Magnetic moment: 3.775 Bohr magnetons per cell

a b c (Å): 4.116 7.140 7.128
angles (deg): 109.35 90.00 90.00
Last column: magnetic moment on the atom in μB.
Fractional coordinates of all 8 atoms:
As1 0.500 0.247 0.253  0.06
Np1 0.000 0.000 0.000  -3.68
As2 0.000 0.757 0.255  0.04
Er1 0.500 0.000 0.500  -0.01
As3 0.000 0.243 0.745  0.04
Er2 0.000 0.500 0.500  0.00
As4 0.500 0.753 0.747  0.06
Sm1 0.500 0.500 0.000  -0.03

***

Sm2ErNpAs4 after structural relaxation, computed with GGA-PBE.

Output
Space group: P2/m
Magnetic moment: 3.743 Bohr magnetons per cell

a b c (Å): 4.147 7.184 7.195
angles (deg): 109.30 90.00 90.00
Last column: magnetic moment on the atom in μB.
Fractional coordinates of all 8 atoms:
Er1 0.500 0.500 0.000  0.01
Sm1 0.000 0.500 0.500  0.03
As1 0.500 0.753 0.759  -0.06
As2 0.000 0.748 0.240  -0.04
Np1 0.000 0.000 0.000  3.64
As3 0.000 0.252 0.760  -0.04
As4 0.500 0.247 0.241  -0.06
Sm2 0.500 0.000 0.500  0.03

***

Sr2ErNpAs4 after structural relaxation, computed with GGA-PBE.

Output
Space group: P2/m
Magnetic moment: 2.015 Bohr magnetons per cell

a b c (Å): 4.263 7.295 7.508
angles (deg): 108.93 90.00 90.00
Last column: magnetic moment on the atom in μB.
Fractional coordinates of all 8 atoms:
Sr1 0.000 0.500 0.500  -0.04
As1 0.500 0.768 0.786  -0.11
As2 0.000 0.252 0.784  -0.10
Er1 0.500 0.500 0.000  -0.07
Np1 0.000 0.000 0.000  3.00
Sr2 0.500 0.000 0.500  -0.02
As3 0.000 0.748 0.216  -0.10
As4 0.500 0.232 0.214  -0.11

***

TbEr2NpAs4 after structural relaxation, computed with GGA-PBE.

Output
Space group: P2/m
Magnetic moment: 3.770 Bohr magnetons per cell

a b c (Å): 4.096 7.097 7.103
angles (deg): 70.67 90.00 90.00
Last column: magnetic moment on the atom in μB.
Fractional coordinates of all 8 atoms:
As1 0.000 0.751 0.751  0.06
As2 0.500 0.249 0.753  0.04
Tb1 0.000 0.500 0.500  -0.03
As3 0.500 0.751 0.247  0.04
Er1 0.000 0.000 0.000  -0.02
Np1 0.500 0.500 0.000  -3.66
As4 0.000 0.249 0.249  0.06
Er2 0.500 0.000 0.500  0.00

***

Per-record DOS at the Fermi energy, states/eV per cell: 24.68, 9.65, 21.14, 10.77, 11.48, 11.82, 6.63, 11.41
Per-record formation enthalpy at 0 K, eV per atom: -1.156, -0.333, -1.027, -1.253, -1.300, -1.304, -1.078, -1.306